Entry 1:
DFT (GGA-PBE) results for a geometry-optimized FeIr3Ru2 structure.

a = 5.3963 Å, b = 3.8098 Å, c = 8.1087 Å
α = 90.00°, β = 90.23°, γ = 90.00°
Fractional coordinates of all 12 atoms:
Fe (0.1289, 0.2500, 0.2512)
Fe (0.8711, 0.7500, 0.7488)
Ir (0.1219, 0.2500, 0.9154)
Ir (0.3694, 0.7500, 0.4158)
Ir (0.3746, 0.7500, 0.7519)
Ir (0.6254, 0.2500, 0.2481)
Ir (0.6306, 0.2500, 0.5842)
Ir (0.8781, 0.7500, 0.0846)
Ru (0.1208, 0.2500, 0.5822)
Ru (0.3746, 0.7500, 0.0811)
Ru (0.6254, 0.2500, 0.9189)
Ru (0.8792, 0.7500, 0.4178)

Output
formation energy from the elements: -0.018 eV per atom
E above lowest polymorph: 0.000 eV per atom
total DFT energy (no corrections): -8.9513 eV/atom
spin magnetization: 3.5 μB/cell

Entry 2:
DFT (GGA-PBE) results for a geometry-optimized Fe2IrRu structure.

a = 8.5264 Å, b = 8.5264 Å, c = 8.5264 Å
α = 18.26°, β = 18.26°, γ = 18.26°
Fractional coordinates of all 4 atoms:
Fe (0.0000, 0.0000, 0.0000)
Fe (0.2548, 0.2548, 0.2548)
Ir (0.7497, 0.7497, 0.7497)
Ru (0.5064, 0.5064, 0.5064)

Output
formation energy from the elements: 0.094 eV per atom
total DFT energy (no corrections): -8.6718 eV/atom
spin magnetization: 5.3 μB/cell

Entry 3:
DFT (GGA-PBE) results for a geometry-optimized FeIr2Ru structure.

a = 2.7168 Å, b = 3.7628 Å, c = 5.3908 Å
α = 90.00°, β = 90.00°, γ = 90.00°
Fractional coordinates of all 4 atoms:
Fe (0.0000, 0.0000, 0.0000)
Ir (0.5000, 0.5000, 0.2459)
Ir (0.5000, 0.5000, 0.7541)
Ru (0.0000, 0.0000, 0.5000)

Output
formation energy from the elements: -0.032 eV per atom
E above lowest polymorph: 0.007 eV per atom
total DFT energy (no corrections): -8.8968 eV/atom
spin magnetization: 2.4 μB/cell

Entry 4:
DFT (GGA-PBE) results for a geometry-optimized Fe2IrRu structure.

a = 3.9633 Å, b = 4.9426 Å, c = 4.9426 Å
α = 30.93°, β = 90.00°, γ = 90.00°
Fractional coordinates of all 4 atoms:
Fe (0.0000, 0.0000, 0.0000)
Fe (0.5000, 0.1292, 0.1292)
Ir (0.0000, 0.7356, 0.7356)
Ru (0.5000, 0.3968, 0.3968)

Output
formation energy from the elements: 0.057 eV per atom
total DFT energy (no corrections): -8.7090 eV/atom
spin magnetization: 1.3 μB/cell

Entry 5:
DFT (GGA-PBE) results for a geometry-optimized Fe2Ir7Ru2 structure.

a = 5.5178 Å, b = 5.5178 Å, c = 7.1673 Å
α = 113.50°, β = 113.50°, γ = 57.63°
Fractional coordinates of all 11 atoms:
Fe (0.2466, 0.7534, 0.0000)
Fe (0.7534, 0.2466, 0.0000)
Ir (0.0077, 0.4878, 0.6805)
Ir (0.0140, 0.0140, 0.3233)
Ir (0.4878, 0.0077, 0.6805)
Ir (0.5000, 0.5000, 0.5000)
Ir (0.5122, 0.9923, 0.3195)
Ir (0.9860, 0.9860, 0.6767)
Ir (0.9923, 0.5122, 0.3195)
Ru (0.2837, 0.2837, 0.0282)
Ru (0.7163, 0.7163, 0.9718)

Output
formation energy from the elements: 0.354 eV per atom
E above lowest polymorph: 0.015 eV per atom
total DFT energy (no corrections): -8.5101 eV/atom
spin magnetization: 4.8 μB/cell

Entry 6:
DFT (GGA-PBE) results for a geometry-optimized Fe2Ir3Ru structure.

a = 7.2081 Å, b = 7.2081 Å, c = 7.2081 Å
α = 136.92°, β = 62.54°, γ = 136.94°
Fractional coordinates of all 12 atoms:
Fe (0.1524, 0.2472, 0.3996)
Fe (0.3476, 0.7472, 0.0949)
Fe (0.6524, 0.2528, 0.9051)
Fe (0.8476, 0.7528, 0.6004)
Ir (0.1553, 0.7466, 0.9019)
Ir (0.2500, 0.2500, 0.0000)
Ir (0.3447, 0.2466, 0.5913)
Ir (0.6553, 0.7534, 0.4087)
Ir (0.7500, 0.7500, 0.0000)
Ir (0.8447, 0.2534, 0.0981)
Ru (0.2500, 0.7500, 0.5000)
Ru (0.7500, 0.2500, 0.5000)

Output
formation energy from the elements: 0.280 eV per atom
total DFT energy (no corrections): -8.5172 eV/atom
spin magnetization: 7.9 μB/cell

Entry 7:
DFT (GGA-PBE) results for a geometry-optimized Fe2Ir7Ru2 structure.

a = 6.0731 Å, b = 6.0731 Å, c = 4.6759 Å
α = 97.07°, β = 97.07°, γ = 80.98°
Fractional coordinates of all 11 atoms:
Fe (0.1866, 0.8134, 0.0000)
Fe (0.8134, 0.1866, 0.0000)
Ir (0.0000, 0.0000, 0.5000)
Ir (0.0458, 0.4028, 0.7428)
Ir (0.4028, 0.0458, 0.7428)
Ir (0.4574, 0.4574, 0.7312)
Ir (0.5426, 0.5426, 0.2688)
Ir (0.5972, 0.9542, 0.2572)
Ir (0.9542, 0.5972, 0.2572)
Ru (0.2356, 0.2356, 0.2443)
Ru (0.7644, 0.7644, 0.7557)

Output
formation energy from the elements: 0.339 eV per atom
E above lowest polymorph: 0.000 eV per atom
total DFT energy (no corrections): -8.5253 eV/atom
spin magnetization: 5.2 μB/cell

Entry 8:
DFT (GGA-PBE) results for a geometry-optimized Fe2IrRu structure.

a = 4.5833 Å, b = 4.5833 Å, c = 4.4999 Å
α = 99.88°, β = 99.88°, γ = 33.92°
Fractional coordinates of all 4 atoms:
Fe (0.0000, 0.0000, 0.0000)
Fe (0.7479, 0.7479, 0.2433)
Ir (0.2494, 0.2494, 0.7467)
Ru (0.5002, 0.5002, 0.4938)

Output
formation energy from the elements: 0.044 eV per atom
total DFT energy (no corrections): -8.7217 eV/atom
spin magnetization: 4.3 μB/cell

Entry 9:
DFT (GGA-PBE) results for a geometry-optimized Fe3Ir4Ru structure.

a = 8.6523 Å, b = 5.4000 Å, c = 4.6008 Å
α = 90.00°, β = 90.00°, γ = 90.00°
Fractional coordinates of all 16 atoms:
Fe (0.0000, 0.0000, 0.0000)
Fe (0.2500, 0.0000, 0.3332)
Fe (0.2500, 0.5000, 0.3339)
Fe (0.5000, 0.0000, 0.0000)
Fe (0.7500, 0.0000, 0.6668)
Fe (0.7500, 0.5000, 0.6661)
Ir (0.0000, 0.2490, 0.5000)
Ir (0.0000, 0.7510, 0.5000)
Ir (0.2500, 0.2446, 0.8423)
Ir (0.2500, 0.7554, 0.8423)
Ir (0.5000, 0.2490, 0.5000)
Ir (0.5000, 0.7510, 0.5000)
Ir (0.7500, 0.2446, 0.1577)
Ir (0.7500, 0.7554, 0.1577)
Ru (0.0000, 0.5000, 0.0000)
Ru (0.5000, 0.5000, 0.0000)

Output
formation energy from the elements: -0.025 eV per atom
total DFT energy (no corrections): -8.7884 eV/atom
spin magnetization: 13.5 μB/cell

Entry 10:
DFT (GGA-PBE) results for a geometry-optimized FeIr2Ru structure.

a = 4.6688 Å, b = 4.6688 Å, c = 4.6688 Å
α = 132.01°, β = 132.01°, γ = 70.21°
Fractional coordinates of all 4 atoms:
Fe (0.0000, 0.0000, 0.0000)
Ir (0.2500, 0.7500, 0.5000)
Ir (0.7500, 0.2500, 0.5000)
Ru (0.5000, 0.5000, 0.0000)

Output
formation energy from the elements: -0.033 eV per atom
E above lowest polymorph: 0.005 eV per atom
total DFT energy (no corrections): -8.8985 eV/atom
spin magnetization: 2.5 μB/cell

Entry 11:
DFT (GGA-PBE) results for a geometry-optimized FeIr2Ru structure.

a = 4.6335 Å, b = 4.6335 Å, c = 4.6335 Å
α = 53.19°, β = 53.19°, γ = 53.19°
Fractional coordinates of all 4 atoms:
Fe (0.0000, 0.0000, 0.0000)
Ir (0.4375, 0.4375, 0.4375)
Ir (0.6583, 0.6583, 0.6583)
Ru (0.2189, 0.2189, 0.2189)

Output
formation energy from the elements: 0.319 eV per atom
E above lowest polymorph: 0.357 eV per atom
total DFT energy (no corrections): -8.5465 eV/atom
spin magnetization: 2.2 μB/cell

Entry 12:
DFT (GGA-PBE) results for a geometry-optimized Fe2IrRu structure.

a = 3.7727 Å, b = 3.7727 Å, c = 3.6303 Å
α = 90.00°, β = 90.00°, γ = 90.00°
Fractional coordinates of all 4 atoms:
Fe (0.0000, 0.5000, 0.0000)
Fe (0.5000, 0.0000, 0.0000)
Ir (0.0000, 0.0000, 0.5000)
Ru (0.5000, 0.5000, 0.5000)

Output
formation energy from the elements: 0.052 eV per atom
total DFT energy (no corrections): -8.7139 eV/atom
spin magnetization: 4.1 μB/cell

Entry 13:
DFT (GGA-PBE) results for a geometry-optimized FeIr2Ru structure.

a = 8.7958 Å, b = 8.7958 Å, c = 8.7958 Å
α = 17.80°, β = 17.80°, γ = 17.80°
Fractional coordinates of all 4 atoms:
Fe (0.0000, 0.0000, 0.0000)
Ir (0.2517, 0.2517, 0.2517)
Ir (0.7483, 0.7483, 0.7483)
Ru (0.5000, 0.5000, 0.5000)

Output
formation energy from the elements: 0.022 eV per atom
E above lowest polymorph: 0.060 eV per atom
total DFT energy (no corrections): -8.8433 eV/atom
spin magnetization: 2.9 μB/cell

Entry 14:
DFT (GGA-PBE) results for a geometry-optimized FeIr2Ru2 structure.

a = 2.7097 Å, b = 6.4647 Å, c = 8.8415 Å
α = 74.53°, β = 89.99°, γ = 77.91°
Fractional coordinates of all 10 atoms:
Fe (0.0646, 0.3719, 0.1556)
Fe (0.9354, 0.6281, 0.8444)
Ir (0.2278, 0.0442, 0.7417)
Ir (0.4662, 0.5682, 0.3330)
Ir (0.5338, 0.4318, 0.6670)
Ir (0.7722, 0.9558, 0.2583)
Ru (0.3371, 0.8259, 0.5216)
Ru (0.3431, 0.8133, 0.0388)
Ru (0.6569, 0.1867, 0.9612)
Ru (0.6629, 0.1741, 0.4784)

Output
formation energy from the elements: 0.211 eV per atom
total DFT energy (no corrections): -8.7362 eV/atom
spin magnetization: 5.9 μB/cell

Entry 15:
DFT (GGA-PBE) results for a geometry-optimized FeIr2Ru structure.

a = 2.7515 Å, b = 4.5384 Å, c = 4.5675 Å
α = 90.00°, β = 90.00°, γ = 90.00°
Fractional coordinates of all 4 atoms:
Fe (0.0000, 0.0000, 0.0000)
Ir (0.0000, 0.5000, 0.5000)
Ir (0.5000, 0.5000, 0.0000)
Ru (0.5000, 0.0000, 0.5000)

Output
formation energy from the elements: 0.280 eV per atom
E above lowest polymorph: 0.318 eV per atom
total DFT energy (no corrections): -8.5852 eV/atom
spin magnetization: 4.0 μB/cell

Entry 16:
DFT (GGA-PBE) results for a geometry-optimized FeIr2Ru structure.

a = 5.2515 Å, b = 5.2515 Å, c = 5.2515 Å
α = 149.36°, β = 129.65°, γ = 60.10°
Fractional coordinates of all 4 atoms:
Fe (0.0000, 0.0000, 0.0000)
Ir (0.2289, 0.7289, 0.5000)
Ir (0.7711, 0.2711, 0.5000)
Ru (0.5000, 0.5000, 0.0000)

Output
formation energy from the elements: 0.219 eV per atom
E above lowest polymorph: 0.258 eV per atom
total DFT energy (no corrections): -8.6460 eV/atom
spin magnetization: 3.6 μB/cell

Entry 17:
DFT (GGA-PBE) results for a geometry-optimized FeIrRu4 structure.

a = 5.0310 Å, b = 5.0310 Å, c = 5.0310 Å
α = 60.00°, β = 60.00°, γ = 60.00°
Fractional coordinates of all 6 atoms:
Fe (0.0000, 0.0000, 0.0000)
Ir (0.7500, 0.7500, 0.7500)
Ru (0.3751, 0.3751, 0.3751)
Ru (0.3751, 0.3751, 0.8746)
Ru (0.3751, 0.8746, 0.3751)
Ru (0.8746, 0.3751, 0.3751)

Output
formation energy from the elements: 0.632 eV per atom
E above lowest polymorph: 0.629 eV per atom
total DFT energy (no corrections): -8.4393 eV/atom
spin magnetization: 5.8 μB/cell

Entry 18:
DFT (GGA-PBE) results for a geometry-optimized FeIrRu3 structure.

a = 4.3193 Å, b = 4.3193 Å, c = 4.3193 Å
α = 90.00°, β = 90.00°, γ = 90.00°
Fractional coordinates of all 5 atoms:
Fe (0.0000, 0.0000, 0.0000)
Ir (0.5000, 0.5000, 0.5000)
Ru (0.0000, 0.0000, 0.5000)
Ru (0.0000, 0.5000, 0.0000)
Ru (0.5000, 0.0000, 0.0000)

Output
formation energy from the elements: 1.509 eV per atom
total DFT energy (no corrections): -7.5213 eV/atom
spin magnetization: 0.0 μB/cell

Entry 19:
DFT (GGA-PBE) results for a geometry-optimized FeIr3Ru2 structure.

a = 7.6637 Å, b = 7.6637 Å, c = 4.6200 Å
α = 90.81°, β = 90.81°, γ = 140.34°
Fractional coordinates of all 12 atoms:
Fe (0.1384, 0.8616, 0.7500)
Fe (0.8616, 0.1384, 0.2500)
Ir (0.0498, 0.4535, 0.7568)
Ir (0.3667, 0.6333, 0.2500)
Ir (0.4535, 0.0498, 0.2568)
Ir (0.5465, 0.9502, 0.7432)
Ir (0.6333, 0.3667, 0.7500)
Ir (0.9502, 0.5465, 0.2432)
Ru (0.2042, 0.2641, 0.6322)
Ru (0.2641, 0.2042, 0.1322)
Ru (0.7359, 0.7958, 0.8678)
Ru (0.7958, 0.7359, 0.3678)

Output
formation energy from the elements: 0.254 eV per atom
E above lowest polymorph: 0.272 eV per atom
total DFT energy (no corrections): -8.6790 eV/atom
spin magnetization: 4.7 μB/cell

Entry 20:
DFT (GGA-PBE) results for a geometry-optimized Fe3Ir3Ru2 structure.

a = 8.2576 Å, b = 8.2576 Å, c = 9.8755 Å
α = 90.00°, β = 90.00°, γ = 161.15°
Fractional coordinates of all 16 atoms:
Fe (0.0038, 0.9962, 0.6268)
Fe (0.0038, 0.9962, 0.8732)
Fe (0.1427, 0.8573, 0.2500)
Fe (0.8573, 0.1427, 0.7500)
Fe (0.9962, 0.0038, 0.1268)
Fe (0.9962, 0.0038, 0.3732)
Ir (0.3787, 0.6213, 0.2500)
Ir (0.3865, 0.6135, 0.5230)
Ir (0.3865, 0.6135, 0.9770)
Ir (0.6135, 0.3865, 0.0230)
Ir (0.6135, 0.3865, 0.4770)
Ir (0.6213, 0.3787, 0.7500)
Ru (0.2356, 0.7644, 0.6140)
Ru (0.2356, 0.7644, 0.8860)
Ru (0.7644, 0.2356, 0.1140)
Ru (0.7644, 0.2356, 0.3860)

Output
formation energy from the elements: 0.027 eV per atom
total DFT energy (no corrections): -8.7884 eV/atom
spin magnetization: 14.5 μB/cell